No. 1
YB2Mo | meta-GGA SCAN | PBEsol geometry

Its raw total energy is -19.7936 eV per atom. As for the crystal system: orthorhombic. The value obtained for the formation energy is -9.152 kcal/mol of atoms.

It has space group Amm2 (No. 38), with a = 3.114 Å, b = 3.292 Å, c = 10.117 Å, α = 90.00°, β = 90.00° and γ = 90.00°. The asymmetric unit holds Y at (0.000, 0.000, 0.000), B at (0.000, 0.000, 0.284), B at (0.500, 0.000, 0.368) and Mo at (0.500, 0.000, 0.721).

***

No. 2
Y3BMo | meta-GGA SCAN | PBEsol geometry

Its raw total energy is -23.9280 eV per atom. As for the crystal system: cubic. The value obtained for the formation energy is 28.610 kcal/mol of atoms.

It has space group Pm-3m (No. 221), with a = 5.116 Å, b = 5.116 Å, c = 5.116 Å, α = 90.00°, β = 90.00° and γ = 90.00°. The asymmetric unit holds Y at (0.000, 0.000, 0.500), B at (0.500, 0.500, 0.500) and Mo at (0.000, 0.000, 0.000).

***

No. 3
YB4Mo | meta-GGA SCAN | PBEsol geometry

Its raw total energy is -16.0816 eV per atom. As for the crystal system: orthorhombic. The value obtained for the formation energy is -15.541 kcal/mol of atoms.

It has space group Pbam (No. 55), with a = 5.998 Å, b = 11.592 Å, c = 3.579 Å, α = 90.00°, β = 90.00° and γ = 90.00°. The asymmetric unit holds Y at (0.127, 0.150, 0.000), B at (0.023, 0.694, 0.500), B at (0.114, 0.547, 0.500), B at (0.133, 0.968, 0.500), B at (0.213, 0.814, 0.500) and Mo at (0.129, 0.417, 0.000).

***

No. 4
Zr9BMo4 | meta-GGA SCAN | PBEsol geometry

Its raw total energy is -30.3716 eV per atom. As for the crystal system: hexagonal. The value obtained for the formation energy is -3.200 kcal/mol of atoms.

It has space group P6_3/mmc (No. 194), with a = 8.5289 Å, b = 8.5289 Å, c = 8.4805 Å, α = 90.00°, β = 90.00° and γ = 120.00°. The asymmetric unit holds Zr at (0.0787, 0.5393, 0.2500), Zr at (0.2035, 0.4069, 0.5558), B at (0.3333, 0.6667, 0.7500), Mo at (0.0000, 0.0000, 0.0000) and Mo at (0.1099, 0.2199, 0.2500).

***

No. 5
Na3BN | meta-GGA SCAN | PBEsol geometry

Its raw total energy is -4.4396 eV per atom. The uncorrected formation energy is 1434 meV per atom. As for the crystal system: cubic.

It has space group Pm-3m (No. 221), with a = 5.007 Å, b = 5.007 Å, c = 5.007 Å, α = 90.00°, β = 90.00° and γ = 90.00°. The asymmetric unit holds Na at (0.000, 0.000, 0.500), B at (0.000, 0.000, 0.000) and N at (0.500, 0.500, 0.500).

***

No. 6
NaBN2 | meta-GGA SCAN | PBEsol geometry

Its raw total energy is -7.7372 eV per atom. The uncorrected formation energy is -180 meV per atom. As for the crystal system: tetragonal.

It has space group I-42d (No. 122), with a = 4.059 Å, b = 4.059 Å, c = 8.925 Å, α = 90.00°, β = 90.00° and γ = 90.00°. The asymmetric unit holds Na at (0.000, 0.000, 0.000), B at (0.000, 0.000, 0.500) and N at (0.056, 0.250, 0.625).